(1)
First-principles (PBE-GGA) data for a relaxed structure of GaCu2Ag, as listed in Alexandria.

Geometry as extended XYZ:
```
8
Lattice="-3.476 3.476 2.599 3.476 -3.476 2.599 3.476 3.476 -2.599" Properties=species:S:1:pos:R:3 pbc="T T T"
Ga 0.000 0.000 0.000
Ga 0.000 3.476 1.300
Cu 1.738 1.603 -0.650
Cu 1.873 -1.738 3.249
Cu 1.738 1.873 1.949
Cu 1.603 5.214 0.650
Ag 3.476 0.000 1.300
Ag 0.000 0.000 2.599
```

Values from the calculation:
For the total energy, the calculation gives -3.31 eV per atom. As for the crystal system: tetragonal. The value obtained for the formation energy is 0.8 eV per formula unit.



(2)
First-principles (PBE-GGA) data for a relaxed structure of Ga2CuAg, as listed in Alexandria.

Geometry as extended XYZ:
```
4
Lattice="3.686 -3.228 0.000 3.686 3.228 0.000 -1.266 0.000 2.821" Properties=species:S:1:pos:R:3 pbc="T T T"
Ga 1.166 0.000 0.553
Ga 4.940 0.000 2.268
Cu 3.053 -1.533 1.410
Ag 3.686 0.790 0.000
```

Values from the calculation:
For the total energy, the calculation gives -3.24 eV per atom. As for the crystal system: monoclinic. The value obtained for the formation energy is 0.0 eV per formula unit.